i:
# CoNi2As4

A geometry-optimized CoNi2As4 structure (PBE-GGA, Alexandria).

```
data_CoNi2As4
_cell_length_a 11.2377
_cell_length_b 3.6070
_cell_length_c 6.0421
_cell_angle_alpha 90.00
_cell_angle_beta 119.56
_cell_angle_gamma 90.00
_symmetry_space_group_name_H-M 'C 1 2/m 1'
_symmetry_Int_Tables_number 12
_symmetry_space_group_name_Hall '-C 2y'
loop_
_atom_site_label
_atom_site_fract_x
_atom_site_fract_y
_atom_site_fract_z
Co1 0.0000 0.0000 0.0000
Ni1 0.2366 0.5000 0.7145
As1 0.1062 0.0000 0.4552
As2 0.1307 0.5000 0.9750
```

=====

ii:
# CoNi2As4

A geometry-optimized CoNi2As4 structure (PBE-GGA, Alexandria).

```
data_CoNi2As4
_cell_length_a 4.5704
_cell_length_b 4.5704
_cell_length_c 11.6330
_cell_angle_alpha 90.00
_cell_angle_beta 90.00
_cell_angle_gamma 90.00
_symmetry_space_group_name_H-M 'I 4/m m m'
_symmetry_Int_Tables_number 139
_symmetry_space_group_name_Hall '-I 4 2'
loop_
_atom_site_label
_atom_site_fract_x
_atom_site_fract_y
_atom_site_fract_z
Co1 0.0000 0.0000 0.0000
Ni1 0.0000 0.0000 0.3966
As1 0.0000 0.0000 0.2069
As2 0.0000 0.5000 0.0000
```

=====

The energy of each structure relative to the most stable one, in eV/atom, is as follows: i 0.000; ii 0.521.

=====

i:
# CoNiAs2

A geometry-optimized CoNiAs2 structure (PBE-GGA, Alexandria).

```
data_CoNiAs2
_cell_length_a 7.8373
_cell_length_b 2.9308
_cell_length_c 6.0330
_cell_angle_alpha 90.00
_cell_angle_beta 107.69
_cell_angle_gamma 90.00
_symmetry_space_group_name_H-M 'C 1 m 1'
_symmetry_Int_Tables_number 8
_symmetry_space_group_name_Hall 'C -2y'
loop_
_atom_site_label
_atom_site_fract_x
_atom_site_fract_y
_atom_site_fract_z
Co1 0.0000 0.0000 0.0000
Ni1 0.2241 0.0000 0.7794
As1 0.2468 0.5000 0.1324
As2 0.4752 0.0000 0.6556
```

=====

ii:
# CoNiAs2

A geometry-optimized CoNiAs2 structure (PBE-GGA, Alexandria).

```
data_CoNiAs2
_cell_length_a 2.7710
_cell_length_b 3.8499
_cell_length_c 11.9156
_cell_angle_alpha 90.00
_cell_angle_beta 90.00
_cell_angle_gamma 90.00
_symmetry_space_group_name_H-M 'I m m 2'
_symmetry_Int_Tables_number 44
_symmetry_space_group_name_Hall 'I 2 -2'
loop_
_atom_site_label
_atom_site_fract_x
_atom_site_fract_y
_atom_site_fract_z
Co1 0.0000 0.0000 0.0000
Ni1 0.0000 0.5000 0.8692
As1 0.0000 0.0000 0.5595
As2 0.0000 0.5000 0.3206
```

=====

The energy of each structure relative to the most stable one, in eV/atom, is as follows: i 0.000; ii 0.100.